Entry 1:
Density functional theory data (PBE) for an optimized crystal structure of BaPAu.

The space group is Cmc2_1 (No. 36) and the conventional cell measures 6.388, 7.582 and 7.251 Å, with angles of 90.00, 90.00 and 90.00 degrees. The inequivalent atoms are Ba at (0.000, 0.131, 0.000), P at (0.000, 0.296, 0.579) and Au at (0.000, 0.471, 0.303).

The total DFT energy (no corrections) comes out at -4.376 eV per atom.



Entry 2:
Density functional theory data (PBE) for an optimized crystal structure of YMgRu.

The space group is F-43m (No. 216) and the conventional cell measures 6.645, 6.645 and 6.645 Å, with angles of 90.00, 90.00 and 90.00 degrees. The inequivalent atoms are Y at (0.000, 0.000, 0.000), Mg at (0.250, 0.250, 0.250) and Ru at (0.250, 0.250, 0.750).

The total DFT energy (no corrections) comes out at -5.051 eV per atom.



Entry 3:
Density functional theory data (PBE) for an optimized crystal structure of KTlIBr2.

The space group is P4/mmm (No. 123) and the conventional cell measures 5.835, 5.835 and 6.185 Å, with angles of 90.00, 90.00 and 90.00 degrees. The inequivalent atoms are K at (0.000, 0.000, 0.000), Tl at (0.500, 0.500, 0.500), I at (0.500, 0.500, 0.000) and Br at (0.000, 0.500, 0.500).

The calculation puts the energy relative to the elements, uncorrected at -0.91 eV/atom.



Entry 4:
Density functional theory data (PBE) for an optimized crystal structure of BaNa2SnH.

The space group is P4/mmm (No. 123) and the conventional cell measures 5.080, 5.080 and 5.391 Å, with angles of 90.00, 90.00 and 90.00 degrees. The inequivalent atoms are Ba at (0.000, 0.000, 0.000), Na at (0.000, 0.500, 0.500), Sn at (0.500, 0.500, 0.000) and H at (0.000, 0.000, 0.500).

The total DFT energy (no corrections) comes out at -2.659 eV per atom.



Entry 5:
Density functional theory data (PBE) for an optimized crystal structure of K2AgI3.

The space group is C2/c (No. 15) and the conventional cell measures 14.143, 8.739 and 9.068 Å, with angles of 90.00, 110.66 and 90.00 degrees. The inequivalent atoms are K at (0.158, 0.184, 0.157), Ag at (0.000, 0.400, 0.750), I at (0.000, 0.080, 0.750) and I at (0.166, 0.458, 0.465).

The calculation puts the energy relative to the elements, uncorrected at -1.04 eV/atom.



Entry 6:
Density functional theory data (PBE) for an optimized crystal structure of La8Os3I4Cl.

The space group is R-3m (No. 166, hexagonal axes) and the conventional cell measures 8.6239, 8.6239 and 24.4772 Å, with angles of 90.00, 90.00 and 120.00 degrees. The inequivalent atoms are La at (0.0000, 0.0000, 0.2297), La at (0.0262, 0.5131, 0.7711), Os at (0.0000, 0.5000, 0.5000), I at (0.0000, 0.0000, 0.0000), I at (0.0000, 0.5000, 0.0000) and Cl at (0.0000, 0.0000, 0.5000).

The calculation puts the energy relative to the elements, uncorrected at -0.88 eV/atom.



Entry 7:
Density functional theory data (PBE) for an optimized crystal structure of PmTh3S4.

The space group is P2/c (No. 13) and the conventional cell measures 6.966, 8.222 and 6.937 Å, with angles of 90.00, 110.32 and 90.00 degrees. The inequivalent atoms are Pm at (0.000, 0.124, 0.250), Th at (0.000, 0.375, 0.750), Th at (0.500, 0.126, 0.750), Th at (0.500, 0.376, 0.250), S at (0.248, 0.124, 0.000) and S at (0.248, 0.373, 0.498).

The calculation puts the energy relative to the elements, uncorrected at -1.89 eV/atom.



Entry 8:
Density functional theory data (PBE) for an optimized crystal structure of Zr4ZnIn3.

The space group is I4/mmm (No. 139) and the conventional cell measures 4.422, 4.422 and 17.465 Å, with angles of 90.00, 90.00 and 90.00 degrees. The inequivalent atoms are Zr at (0.000, 0.500, 0.121), Zn at (0.000, 0.000, 0.000), In at (0.000, 0.000, 0.250) and In at (0.000, 0.000, 0.500).

The total DFT energy (no corrections) comes out at -5.751 eV per atom.